Record 1
Material: TaCrNi6
Method: DFT, meta-GGA SCAN
State: PBEsol geometry

Unit cell a=6.1848 b=6.1848 c=10.1064 alpha=90.00 beta=90.00 gamma=109.58
Atoms (fractional coordinates):
Cr1 0.2451 0.7549 0.0000
Cr2 0.7549 0.2451 0.0000
Cr3 0.5000 0.5000 0.7565
Cr4 0.5000 0.5000 0.2435
Ni1 0.2511 0.7489 0.7510
Ni2 0.8729 0.6218 0.8764
Ni3 0.1271 0.3782 0.8764
Ni4 0.7489 0.2511 0.7510
Ni5 0.3782 0.1271 0.8764
Ni6 0.6218 0.8729 0.8764
Ni7 0.5000 0.5000 0.5000
Ni8 0.1288 0.3765 0.6263
Ni9 0.3765 0.1288 0.6263
Ni10 0.2511 0.7489 0.2490
Ni11 0.8712 0.6235 0.3737
Ni12 0.1288 0.3765 0.3737
Ni13 0.7489 0.2511 0.2490
Ni14 0.3765 0.1288 0.3737
Ni15 0.6235 0.8712 0.3737
Ni16 0.5000 0.5000 0.0000
Ni17 0.1271 0.3782 0.1236
Ni18 0.3782 0.1271 0.1236
Ni19 0.0000 0.0000 0.5000
Ni20 0.6235 0.8712 0.6263
Ni21 0.8712 0.6235 0.6263
Ni22 0.0000 0.0000 0.0000
Ni23 0.6218 0.8729 0.1236
Ni24 0.8729 0.6218 0.1236
Ta1 0.2480 0.7520 0.5000
Ta2 0.7520 0.2480 0.5000
Ta3 0.0000 0.0000 0.7552
Ta4 0.0000 0.0000 0.2448

Values from the calculation:
**Uncorrected energy**: -183.42 eV per formula unit
**Formation energy**: -0.177 eV/atom
**Total moment**: 3.2 μB/f.u.


Record 2
Material: TaCr2Ni
Method: DFT, meta-GGA SCAN
State: PBEsol geometry

Unit cell a=4.1675 b=4.1675 c=4.1675 alpha=60.00 beta=60.00 gamma=60.00
Atoms (fractional coordinates):
Cr1 0.0000 0.0000 0.0000
Cr2 0.7500 0.7500 0.7500
Ni1 0.5000 0.5000 0.5000
Ta1 0.2500 0.2500 0.2500

Values from the calculation:
**Uncorrected energy**: -119.60 eV per formula unit
**Formation energy**: -0.017 eV/atom
**Total moment**: 1.0 μB/f.u.


Record 3
Material: TaCrNi2W
Method: DFT, meta-GGA SCAN
State: PBEsol geometry

Unit cell a=4.4479 b=4.4479 c=4.7192 alpha=90.00 beta=90.00 gamma=90.00
Atoms (fractional coordinates):
Ni1 0.0000 0.5000 0.0000
Ni2 0.5000 0.0000 0.0000
Cr1 0.5000 0.5000 0.5000
W1 0.0000 0.0000 0.5000
Ta1 0.0000 0.0000 0.0000

Values from the calculation:
**Uncorrected energy**: -178.36 eV per formula unit
**Formation energy**: 1.728 eV/atom
**Total moment**: 3.5 μB/f.u.


Record 4
Material: CrTcNi2
Method: DFT, meta-GGA SCAN
State: PBEsol geometry

Unit cell a=2.4837 b=4.4843 c=4.4843 alpha=113.43 beta=90.00 gamma=90.00
Atoms (fractional coordinates):
Cr1 0.5000 0.5000 0.5000
Ni1 0.0000 0.5000 0.0000
Ni2 0.0000 0.0000 0.5000
Tc1 0.5000 0.0000 0.0000

Values from the calculation:
**Uncorrected energy**: -85.64 eV per formula unit
**Formation energy**: 0.037 eV/atom
**Total moment**: 2.2 μB/f.u.
**Energy relative to the lowest polymorph listed for this composition**: 48.7 meV per atom


Record 5
Material: CrTcNi2
Method: DFT, meta-GGA SCAN
State: PBEsol geometry

Unit cell a=2.4838 b=2.4838 c=7.4027 alpha=90.00 beta=90.00 gamma=90.00
Atoms (fractional coordinates):
Cr1 0.5000 0.5000 0.5000
Ni1 0.0000 0.0000 0.7381
Ni2 0.0000 0.0000 0.2619
Tc1 0.5000 0.5000 0.0000

Values from the calculation:
**Uncorrected energy**: -85.50 eV per formula unit
**Formation energy**: 0.073 eV/atom
**Total moment**: 1.9 μB/f.u.
**Energy relative to the lowest polymorph listed for this composition**: 84.2 meV per atom


Record 6
Material: CrTcNi2
Method: DFT, meta-GGA SCAN
State: PBEsol geometry

Unit cell a=3.4833 b=3.4808 c=4.4964 alpha=112.77 beta=112.79 gamma=90.00
Atoms (fractional coordinates):
Ni1 0.7500 0.7500 0.5000
Ni2 0.2500 0.2500 0.5000
Tc1 0.5000 0.0000 0.0000
Cr1 0.0000 0.5000 0.0000

Values from the calculation:
**Uncorrected energy**: -85.76 eV per formula unit
**Formation energy**: 0.007 eV/atom
**Total moment**: 1.6 μB/f.u.
**Energy relative to the lowest polymorph listed for this composition**: 17.9 meV per atom


Record 7
Material: CrTcNi2
Method: DFT, meta-GGA SCAN
State: PBEsol geometry

Unit cell a=2.4721 b=4.3419 c=4.5017 alpha=97.48 beta=90.00 gamma=106.54
Atoms (fractional coordinates):
Ni1 0.0013 0.0026 0.9989
Ni2 0.2515 0.5031 0.7611
Tc1 0.5037 0.0074 0.5045
Cr1 0.7435 0.4869 0.2356

Values from the calculation:
**Uncorrected energy**: -85.50 eV per formula unit
**Formation energy**: 0.072 eV/atom
**Total moment**: 0.0 μB/f.u.
**Energy relative to the lowest polymorph listed for this composition**: 83.7 meV per atom


Record 8
Material: CrTcNi2
Method: DFT, meta-GGA SCAN
State: PBEsol geometry

Unit cell a=3.4900 b=3.4900 c=3.7528 alpha=90.00 beta=90.00 gamma=90.00
Atoms (fractional coordinates):
Ni1 0.0000 0.5000 0.0000
Ni2 0.5000 0.0000 0.0000
Tc1 0.5000 0.5000 0.5000
Cr1 0.0000 0.0000 0.5000

Values from the calculation:
**Uncorrected energy**: -85.84 eV per formula unit
**Formation energy**: -0.011 eV/atom
**Total moment**: 0.7 μB/f.u.
**Energy relative to the lowest polymorph listed for this composition**: 0.0 meV per atom